This record from the Alexandria database describes MnCdTe2 after structural relaxation. The functional is PBE.

total DFT energy (no corrections): -0.1464 hartree per atom
density of states at the Fermi level: 0.797 states/eV per atom
ρ: 6.6 g cm⁻³
M_tot: 0.000 μB per formula unit
ΔE_f (raw): 107 meV per atom

Cell lengths 3.6795, 3.6795, 27.0288 Å; angles 90.00, 90.00, 120.00 degrees
Space group R-3m (No. 166, hexagonal axes)
Unique sites:
Mn (0.0000, 0.0000, 0.0000) [3 per cell]
Cd (0.0000, 0.0000, 0.5000) [3 per cell]
Te (0.0000, 0.0000, 0.3875) [6 per cell]

=====

This record from the Alexandria database describes Y12Pt3N5 after structural relaxation. The functional is PBE.

total DFT energy (no corrections): -0.2925 hartree per atom
density of states at the Fermi level: 0.630 states/eV per atom
ρ: 6.4 g cm⁻³
M_tot: 0.000 μB per formula unit
ΔE_f (raw): -1092 meV per atom

Cell lengths 15.2966, 15.2966, 15.2966 Å; angles 90.00, 90.00, 90.00 degrees
Space group Ia-3d (No. 230)
Unique sites:
Y (0.0320, 0.0536, 0.6508) [96 per cell]
Pt (0.0000, 0.2500, 0.1250) [24 per cell]
N (0.0000, 0.0000, 0.0000) [16 per cell]
N (0.0000, 0.2500, 0.3750) [24 per cell]

=====

This record from the Alexandria database describes Ti3Ge after structural relaxation. The functional is PBE.

total DFT energy (no corrections): -0.2765 hartree per atom
density of states at the Fermi level: 1.173 states/eV per atom
ρ: 5.3 g cm⁻³
formation enthalpy at 0 K: -0.448 eV per atom
M_tot: 0.000 μB per formula unit

Cell lengths 10.2291, 10.2291, 5.1468 Å; angles 90.00, 90.00, 90.00 degrees
Space group I-4 (No. 82)
Unique sites:
Ti (0.0276, 0.3563, 0.4808) [8 per cell]
Ti (0.0828, 0.8926, 0.2892) [8 per cell]
Ti (0.1846, 0.7829, 0.7406) [8 per cell]
Ge (0.0364, 0.2906, 0.9755) [8 per cell]

=====

This record from the Alexandria database describes TbPmScSn after structural relaxation. The functional is PBE.

total DFT energy (no corrections): -0.1891 hartree per atom
density of states at the Fermi level: 1.890 states/eV per atom
ρ: 7.3 g cm⁻³
formation enthalpy at 0 K: -0.218 eV per atom
M_tot: 0.014 μB per formula unit

Cell lengths 7.5195, 7.5195, 7.5195 Å; angles 90.00, 90.00, 90.00 degrees
Space group F-43m (No. 216)
Unique sites:
Tb (0.0000, 0.0000, 0.0000) [4 per cell]
Pm (0.2500, 0.2500, 0.7500) [4 per cell]
Sc (0.0000, 0.0000, 0.5000) [4 per cell]
Sn (0.2500, 0.2500, 0.2500) [4 per cell]

=====

This record from the Alexandria database describes Ag3O after structural relaxation. The functional is PBE.

total DFT energy (no corrections): -0.1199 hartree per atom
density of states at the Fermi level: 0.419 states/eV per atom
ρ: 8.4 g cm⁻³
energy relative to the lowest polymorph listed for this composition: 14.5 kJ/mol of atoms
M_tot: 0.000 μB per formula unit
ΔE_f (raw): 115 meV per atom

Cell lengths 3.1175, 3.1731, 6.8201 Å; angles 90.00, 90.00, 90.00 degrees
Space group Pmm2 (No. 25)
Unique sites:
Ag (0.0000, 0.0000, 0.0000) [1 per cell]
Ag (0.0000, 0.5000, 0.3667) [1 per cell]
Ag (0.5000, 0.5000, 0.7343) [1 per cell]
O (0.5000, 0.0000, 0.3155) [1 per cell]

=====

This record from the Alexandria database describes AlCu2Ni after structural relaxation. The functional is PBE.

total DFT energy (no corrections): -0.1721 hartree per atom
density of states at the Fermi level: 0.366 states/eV per atom
ρ: 7.3 g cm⁻³
formation enthalpy at 0 K: -0.253 eV per atom
M_tot: 0.000 μB per formula unit

Cell lengths 2.7139, 8.4479, 4.2269 Å; angles 90.00, 90.00, 90.00 degrees
Space group Imm2 (No. 44)
Unique sites:
Al (0.0000, 0.0000, 0.0000) [2 per cell]
Cu (0.0000, 0.2483, 0.6221) [4 per cell]
Ni (0.0000, 0.5000, 0.9952) [2 per cell]

=====

This record from the Alexandria database describes NdY2Th2 after structural relaxation. The functional is PBE.

total DFT energy (no corrections): -0.2379 hartree per atom
density of states at the Fermi level: 1.336 states/eV per atom
ρ: 7.9 g cm⁻³
energy relative to the lowest polymorph listed for this composition: 1.9 kJ/mol of atoms
formation enthalpy at 0 K: 0.033 eV per atom
M_tot: 0.000 μB per formula unit

Cell lengths 3.5897, 3.5897, 14.7307 Å; angles 90.00, 90.00, 120.00 degrees
Space group P-3m1 (No. 164)
Unique sites:
Nd (0.0000, 0.0000, 0.0000) [1 per cell]
Y (0.3333, 0.6667, 0.7989) [2 per cell]
Th (0.3333, 0.6667, 0.4022) [2 per cell]

=====

This record from the Alexandria database describes Sm7Zn2Au2 after structural relaxation. The functional is PBE.

total DFT energy (no corrections): -0.1461 hartree per atom
density of states at the Fermi level: 1.299 states/eV per atom
ρ: 8.2 g cm⁻³
formation enthalpy at 0 K: -0.145 eV per atom
M_tot: 0.000 μB per formula unit

Cell lengths 7.5517, 10.9318, 7.7692 Å; angles 90.00, 90.00, 90.00 degrees
Space group Cmmm (No. 65)
Unique sites:
Sm (0.0000, 0.0000, 0.0000) [2 per cell]
Sm (0.0000, 0.5000, 0.2607) [4 per cell]
Sm (0.2500, 0.2500, 0.2844) [8 per cell]
Zn (0.0000, 0.2908, 0.0000) [4 per cell]
Au (0.1859, 0.0000, 0.5000) [4 per cell]

=====

This record from the Alexandria database describes CdAuSN2 after structural relaxation. The functional is PBE.

total DFT energy (no corrections): -0.1146 hartree per atom
density of states at the Fermi level: 0.455 states/eV per atom
ρ: 6.2 g cm⁻³
energy relative to the lowest polymorph listed for this composition: 39.6 kJ/mol of atoms
M_tot: 3.986 μB per formula unit
ΔE_f (raw): 1877 meV per atom

Cell lengths 4.1545, 4.1545, 5.7331 Å; angles 90.00, 90.00, 90.00 degrees
Space group P4/mmm (No. 123)
Unique sites:
Cd (0.0000, 0.0000, 0.0000) [1 per cell]
Au (0.5000, 0.5000, 0.5000) [1 per cell]
S (0.0000, 0.0000, 0.5000) [1 per cell]
N (0.0000, 0.5000, 0.0000) [2 per cell]

=====

This record from the Alexandria database describes Nb2CdAgSb after structural relaxation. The functional is PBE.

total DFT energy (no corrections): -0.1552 hartree per atom
density of states at the Fermi level: 1.205 states/eV per atom
ρ: 6.4 g cm⁻³
M_tot: 0.000 μB per formula unit
ΔE_f (raw): 1383 meV per atom

Cell lengths 5.1206, 5.1206, 5.2351 Å; angles 90.00, 90.00, 90.00 degrees
Space group P4/mmm (No. 123)
Unique sites:
Nb (0.0000, 0.5000, 0.0000) [2 per cell]
Cd (0.0000, 0.0000, 0.5000) [1 per cell]
Ag (0.5000, 0.5000, 0.5000) [1 per cell]
Sb (0.0000, 0.0000, 0.0000) [1 per cell]

=====

This record from the Alexandria database describes Tb2Pm4PrTm2 after structural relaxation. The functional is PBE.

total DFT energy (no corrections): -0.1708 hartree per atom
density of states at the Fermi level: 1.370 states/eV per atom
ρ: 7.7 g cm⁻³
formation enthalpy at 0 K: 0.019 eV per atom
M_tot: 0.000 μB per formula unit

Cell lengths 18.6634, 3.6046, 8.8344 Å; angles 90.00, 90.04, 90.00 degrees
Space group C2/m (No. 12)
Unique sites:
Tb (0.1123, 0.0000, 0.1705) [4 per cell]
Pm (0.0555, 0.5000, 0.8346) [4 per cell]
Pm (0.2222, 0.0000, 0.8317) [4 per cell]
Pr (0.0000, 0.0000, 0.5000) [2 per cell]
Tm (0.1686, 0.5000, 0.4994) [4 per cell]

=====

This record from the Alexandria database describes Ca2Zn5NiPd2 after structural relaxation. The functional is PBE.

total DFT energy (no corrections): -0.1100 hartree per atom
density of states at the Fermi level: 0.658 states/eV per atom
ρ: 6.3 g cm⁻³
formation enthalpy at 0 K: -0.338 eV per atom
M_tot: 0.001 μB per formula unit

Cell lengths 10.2761, 10.2761, 3.3683 Å; angles 90.00, 90.00, 90.00 degrees
Space group P4/mbm (No. 127)
Unique sites:
Ca (0.1761, 0.3239, 0.0000) [4 per cell]
Zn (0.0000, 0.5000, 0.5000) [2 per cell]
Zn (0.0549, 0.8201, 0.5000) [8 per cell]
Ni (0.0000, 0.0000, 0.0000) [2 per cell]
Pd (0.1300, 0.6300, 0.0000) [4 per cell]

=====

This record from the Alexandria database describes PuPt2Au after structural relaxation. The functional is PBE.

total DFT energy (no corrections): -0.2925 hartree per atom
density of states at the Fermi level: 3.598 states/eV per atom
ρ: 18.3 g cm⁻³
formation enthalpy at 0 K: -0.535 eV per atom
M_tot: 5.196 μB per formula unit

Cell lengths 4.3230, 4.3230, 4.0319 Å; angles 90.00, 90.00, 90.00 degrees
Space group P4/mmm (No. 123)
Unique sites:
Pu (0.0000, 0.0000, 0.0000) [1 per cell]
Pt (0.0000, 0.5000, 0.5000) [2 per cell]
Au (0.5000, 0.5000, 0.0000) [1 per cell]

=====

This record from the Alexandria database describes Ce2TmTh4 after structural relaxation. The functional is PBE.

total DFT energy (no corrections): -0.2312 hartree per atom
density of states at the Fermi level: 1.868 states/eV per atom
ρ: 10.3 g cm⁻³
energy relative to the lowest polymorph listed for this composition: 25.5 kJ/mol of atoms
formation enthalpy at 0 K: 0.282 eV per atom
M_tot: 0.000 μB per formula unit

Cell lengths 7.9144, 7.9144, 3.5360 Å; angles 90.00, 90.00, 90.00 degrees
Space group P-42m (No. 111)
Unique sites:
Ce (0.0000, 0.5000, 0.0000) [2 per cell]
Tm (0.0000, 0.0000, 0.5000) [1 per cell]
Th (0.2988, 0.2988, 0.6663) [4 per cell]

=====

This record from the Alexandria database describes ReMoAu2 after structural relaxation. The functional is PBE.

total DFT energy (no corrections): -0.2626 hartree per atom
density of states at the Fermi level: 0.880 states/eV per atom
ρ: 16.7 g cm⁻³
energy relative to the lowest polymorph listed for this composition: 5.5 kJ/mol of atoms
formation enthalpy at 0 K: 0.313 eV per atom
M_tot: 0.000 μB per formula unit

Cell lengths 3.3126, 3.3126, 6.1207 Å; angles 90.00, 90.00, 90.00 degrees
Space group P4mm (No. 99)
Unique sites:
Re (0.0000, 0.0000, 0.0000) [1 per cell]
Mo (0.5000, 0.5000, 0.8019) [1 per cell]
Au (0.0000, 0.0000, 0.5282) [1 per cell]
Au (0.5000, 0.5000, 0.2726) [1 per cell]

=====

This record from the Alexandria database describes Y5Er2 after structural relaxation. The functional is PBE.

total DFT energy (no corrections): -0.2176 hartree per atom
density of states at the Fermi level: 1.812 states/eV per atom
ρ: 5.7 g cm⁻³
energy relative to the lowest polymorph listed for this composition: 0.0 kJ/mol of atoms
formation enthalpy at 0 K: -0.001 eV per atom
M_tot: 0.000 μB per formula unit

Cell lengths 15.6713, 6.2866, 9.1958 Å; angles 90.00, 96.23, 90.00 degrees
Space group C2/c (No. 15)
Unique sites:
Y (0.0000, 0.1684, 0.2500) [4 per cell]
Y (0.1418, 0.1678, 0.9639) [8 per cell]
Y (0.2146, 0.3347, 0.3214) [8 per cell]
Er (0.0709, 0.3340, 0.6071) [8 per cell]

=====

This record from the Alexandria database describes ThZrGa2Ni2 after structural relaxation. The functional is PBE.

total DFT energy (no corrections): -0.2269 hartree per atom
density of states at the Fermi level: 1.135 states/eV per atom
ρ: 8.8 g cm⁻³
formation enthalpy at 0 K: -0.578 eV per atom
M_tot: 0.000 μB per formula unit

Cell lengths 4.2530, 4.2530, 7.0158 Å; angles 90.00, 90.00, 120.00 degrees
Space group P-3m1 (No. 164)
Unique sites:
Th (0.0000, 0.0000, 0.0000) [1 per cell]
Zr (0.0000, 0.0000, 0.5000) [1 per cell]
Ga (0.3333, 0.6667, 0.2925) [2 per cell]
Ni (0.3333, 0.6667, 0.7056) [2 per cell]

=====

This record from the Alexandria database describes K3Cu2S3 after structural relaxation. The functional is PBE.

total DFT energy (no corrections): -0.1343 hartree per atom
density of states at the Fermi level: 0.599 states/eV per atom
ρ: 3.1 g cm⁻³
M_tot: 0.000 μB per formula unit
ΔE_f (raw): -672 meV per atom

Cell lengths 4.1471, 12.4026, 14.3110 Å; angles 90.00, 90.00, 90.00 degrees
Space group Cmcm (No. 63)
Unique sites:
K (0.0000, 0.0723, 0.1096) [8 per cell]
K (0.0000, 0.3667, 0.2500) [4 per cell]
Cu (0.0000, 0.2293, 0.5874) [8 per cell]
S (0.0000, 0.3120, 0.7500) [4 per cell]
S (0.0000, 0.3495, 0.0448) [8 per cell]

=====

This record from the Alexandria database describes Cd2SnTe2 after structural relaxation. The functional is PBE.

total DFT energy (no corrections): -0.0912 hartree per atom
density of states at the Fermi level: 0.369 states/eV per atom
ρ: 6.9 g cm⁻³
energy relative to the lowest polymorph listed for this composition: 0.0 kJ/mol of atoms
M_tot: 0.000 μB per formula unit
ΔE_f (raw): -57 meV per atom

Cell lengths 8.4653, 8.4653, 4.0421 Å; angles 90.00, 90.00, 90.00 degrees
Space group P4/mbm (No. 127)
Unique sites:
Cd (0.1357, 0.3643, 0.0000) [4 per cell]
Sn (0.0000, 0.0000, 0.5000) [2 per cell]
Te (0.1700, 0.6700, 0.5000) [4 per cell]

=====

This record from the Alexandria database describes Ba5SmCd6 after structural relaxation. The functional is PBE.

total DFT energy (no corrections): -0.0715 hartree per atom
density of states at the Fermi level: 0.685 states/eV per atom
ρ: 5.8 g cm⁻³
formation enthalpy at 0 K: -0.294 eV per atom
M_tot: 0.000 μB per formula unit

Cell lengths 18.7173, 8.3113, 5.8986 Å; angles 90.00, 108.37, 90.00 degrees
Space group C2/m (No. 12)
Unique sites:
Ba (0.0000, 0.0000, 0.0000) [2 per cell]
Ba (0.1622, 0.0000, 0.6617) [4 per cell]
Ba (0.1762, 0.5000, 0.6756) [4 per cell]
Sm (0.0000, 0.5000, 0.0000) [2 per cell]
Cd (0.0000, 0.2917, 0.5000) [4 per cell]
Cd (0.1550, 0.2731, 0.1541) [8 per cell]